Below is a relaxed structure of Li6AcAu2, with properties calculated at the PBE-GGA level.

Cell and atoms, written as POSCAR:
```
Li6AcAu2
1.0
5.7443 -4.2570 0.0000
5.7443 4.2570 0.0000
-1.7930 0.0000 4.1895
Li Ac Au
6 1 2
Cartesian
1.2121 1.4216 3.0060 Li
5.7443 2.8327 0.0000 Li
1.2121 -1.4216 3.0060 Li
8.4836 1.4216 1.1836 Li
5.7443 -2.8327 0.0000 Li
8.4836 -1.4216 1.1836 Li
4.8479 0.0000 2.0948 Ac
2.0578 0.0000 0.8877 Au
7.6379 0.0000 3.3018 Au
```

ΔE_f = -0.277 eV per atom
Density = 5370 kg/m3
Uncorrected energy = -24.64 eV for the cell shown
Space group = C2/m, No. 12
Total moment = 0.00 μB/f.u.